No. 1
DFT (PBE) results for a relaxed structure of ZnS3N.

Properties
For the energy above the lowest structure with this stoichiometry, the calculation gives 639 meV/atom. Its formation energy without anion corrections is 1.69 eV per atom. Its crystal system is cubic. For the mass density, the calculation gives 2.8 g/cm3. Its density of states at the Fermi level is 5.124 states/eV/cell. The calculated total energy is -2.711 eV/atom.

```
5
Lattice="4.682 0.000 0.000 0.000 4.682 0.000 0.000 0.000 4.682" Properties=species:S:1:pos:R:3 pbc="T T T"
Zn 0.000 0.000 0.000
S 0.000 0.000 2.341
S 0.000 2.341 0.000
S 2.341 0.000 0.000
N 2.341 2.341 2.341
```

---

No. 2
DFT (PBE) results for a relaxed structure of ZnSN.

Properties
For the energy above the lowest structure with this stoichiometry, the calculation gives 667 meV/atom. Its formation energy without anion corrections is 0.30 eV per atom. Its crystal system is monoclinic. For the mass density, the calculation gives 3.6 g/cm3. Its density of states at the Fermi level is 1.310 states/eV/cell. The calculated total energy is -4.280 eV/atom.

```
12
Lattice="9.143 0.000 0.000 0.000 3.974 0.000 -0.624 0.000 5.625" Properties=species:S:1:pos:R:3 pbc="T T T"
Zn 1.658 0.000 1.394
Zn 2.290 1.987 4.231
Zn 6.229 1.987 1.394
Zn 6.861 0.000 4.231
S 0.923 0.000 4.442
S 3.024 1.987 1.182
S 5.494 1.987 4.442
S 7.596 0.000 1.182
N -0.158 0.000 2.110
N 4.105 1.987 3.515
N 4.414 1.987 2.110
N 8.676 0.000 3.515
```